No. 1
Computed, not measured: Cd2BPbI after structural relaxation at the PBE level of DFT.

a = 5.838 Å, b = 4.749 Å, c = 5.838 Å
α = 90.00°, β = 90.00°, γ = 90.00°
Fractional positions:
Pb  0.000  0.000  0.000
I  0.500  0.500  0.500
B  0.000  0.500  0.000
Cd  0.000  0.000  0.500
Cd  0.500  0.000  0.000

Computed properties:
Crystal system = tetragonal
Space-group type = P4/mmm, No. 123



No. 2
Computed, not measured: Fe2ReHW after structural relaxation at the PBE level of DFT.

a = 3.756 Å, b = 3.756 Å, c = 3.816 Å
α = 90.00°, β = 90.00°, γ = 90.00°
Fractional positions:
Re  0.000  0.000  0.500
Fe  0.000  0.500  0.000
Fe  0.500  0.000  0.000
W  0.500  0.500  0.500
H  0.000  0.000  0.000

Computed properties:
Crystal system = tetragonal
Space-group type = P4/mmm, No. 123



No. 3
Computed, not measured: HgP2SCl after structural relaxation at the PBE level of DFT.

a = 5.083 Å, b = 5.083 Å, c = 4.991 Å
α = 90.00°, β = 90.00°, γ = 90.00°
Last column: magnetic moment on the atom in μB.
Fractional positions:
P  0.000  0.500  0.000  0.32
P  0.500  0.000  0.000  0.32
S  0.500  0.500  0.500  -0.39
Hg  0.000  0.000  0.000  0.01
Cl  0.000  0.000  0.500  0.03

Computed properties:
Crystal system = tetragonal
Space-group type = P4/mmm, No. 123



No. 4
Computed, not measured: LaIn2Au after structural relaxation at the PBE level of DFT.

a = 5.212 Å, b = 5.212 Å, c = 5.212 Å
α = 60.00°, β = 60.00°, γ = 60.00°
Fractional positions:
In  0.250  0.250  0.250
In  0.750  0.750  0.750
Au  0.500  0.500  0.500
La  0.000  0.000  0.000

Computed properties:
DFT formation energy = -8.6 kcal/mol of atoms
Crystal system = cubic
Space-group type = Fm-3m, No. 225



In order of appearance, energy = -9.7, -45.3, -10.7, -15.2 eV/cell.
In order of appearance, calculated density = 5.8, 14.9, 4.3, 9.4 g/cm³.